CdCu2Ru | Alexandria | PBE | relaxed; energy relative to the elements = 0.25 eV per atom; final energy = -4.342 eV/atom; SG = P4/mmm, No. 123
1.0
2.825 0.000 0.000
0.000 2.825 0.000
0.000 0.000 7.343
Cu Ru Cd
2 1 1
Direct
0.000 0.000 0.482
0.000 0.000 0.018
0.500 0.500 0.250
0.500 0.500 0.750